Density functional theory data (PBE) for a geometry-optimized Tl2GaBiI6 structure.

a = 8.4972 Å, b = 8.4974 Å, c = 8.8260 Å
α = 61.20°, β = 61.20°, γ = 59.98°
Closest atoms and distances in Å follow each position.
Sites, in units of the cell vectors:
Tl (0.5264, 0.5263, 0.4210)  6 I 3.56-3.61
Tl (0.0218, 0.0219, 0.9344)  6 I 3.55-3.60
Ga (0.8211, 0.8211, 0.5372)  6 I 3.20-3.29
Bi (0.3246, 0.3246, 0.0262)  6 I 3.11-3.13
I (0.5766, 0.1770, 0.2641)  1 Bi 3.11, 1 Ga 3.28
I (0.1770, 0.9822, 0.2640)  1 Bi 3.11, 1 Ga 3.28
I (0.9821, 0.5769, 0.2640)  1 Bi 3.11, 1 Ga 3.29
I (0.4670, 0.6712, 0.7679)  1 Bi 3.13, 1 Ga 3.20
I (0.6714, 0.0934, 0.7682)  1 Bi 3.13, 1 Ga 3.20
I (0.0935, 0.4671, 0.7682)  1 Bi 3.13, 1 Ga 3.20

Calculated values
- ΔE_f (raw) (meV per atom) = -510